First-principles (PBE-GGA) data for TaPtSe after structural relaxation, as listed in the Alexandria database.

Computed properties:
VASP energy	-7.57	eV per atom
relative energy among the computed polymorphs	49	meV/atom
magnetization	0.0	μB/f.u.
space group	P4mm, No. 99
E_form (uncorrected)	-444	meV per atom

Cell: 3.073 3.073 5.944 Å, 90.00 90.00 90.00°
Fractional coordinates of all 3 atoms:
Ta: 0.000 0.000 0.764
Pt: 0.500 0.500 0.059
Se: 0.500 0.500 0.499

First-principles (PBE-GGA) data for TaPtWSe2 after structural relaxation, as listed in the Alexandria database.

Computed properties:
VASP energy	-6.19	eV per atom
magnetization	0.0	μB/f.u.
space group	P4/mmm, No. 123
E_form (uncorrected)	1378	meV per atom

Cell: 4.808 5.055 4.808 Å, 90.00 90.00 90.00°
Fractional coordinates of all 5 atoms:
Se: 0.000 0.000 0.500
Se: 0.500 0.000 0.000
W: 0.000 0.500 0.000
Pt: 0.500 0.500 0.500
Ta: 0.000 0.000 0.000

First-principles (PBE-GGA) data for Tb5PtSe4 after structural relaxation, as listed in the Alexandria database.

Computed properties:
VASP energy	-5.97	eV per atom
magnetization	0.0	μB/f.u.
space group	I4/mmm, No. 139
E_form (uncorrected)	-1659	meV per atom

Cell: 4.088 4.088 14.954 Å, 97.86 97.86 90.00°
Fractional coordinates of all 10 atoms:
Tb: 0.098 0.098 0.195
Tb: 0.500 0.500 0.000
Tb: 0.902 0.902 0.805
Tb: 0.297 0.297 0.594
Tb: 0.703 0.703 0.406
Pt: 0.000 0.000 0.000
Se: 0.396 0.396 0.792
Se: 0.802 0.802 0.605
Se: 0.198 0.198 0.395
Se: 0.604 0.604 0.208

First-principles (PBE-GGA) data for Tb3PtSe2 after structural relaxation, as listed in the Alexandria database.

Computed properties:
VASP energy	-6.05	eV per atom
relative energy among the computed polymorphs	26	meV/atom
magnetization	0.0	μB/f.u.
space group	Immm, No. 71
E_form (uncorrected)	-1568	meV per atom

Cell: 3.989 5.895 7.295 Å, 113.83 105.87 90.00°
Fractional coordinates of all 6 atoms:
Tb: 0.845 0.345 0.191
Tb: 0.155 0.655 0.809
Tb: 0.500 0.000 0.500
Pt: 0.500 0.500 0.500
Se: 0.829 0.829 0.159
Se: 0.171 0.171 0.841

First-principles (PBE-GGA) data for Tb4PtSe3 after structural relaxation, as listed in the Alexandria database.

Computed properties:
VASP energy	-5.97	eV per atom
relative energy among the computed polymorphs	56	meV/atom
magnetization	0.0	μB/f.u.
space group	Pm-3m, No. 221
E_form (uncorrected)	-1589	meV per atom

Cell: 5.814 5.814 5.814 Å, 90.00 90.00 90.00°
Fractional coordinates of all 8 atoms:
Tb: 0.500 0.000 0.000
Tb: 0.000 0.500 0.000
Tb: 0.000 0.000 0.500
Tb: 0.500 0.500 0.500
Pt: 0.000 0.000 0.000
Se: 0.000 0.500 0.500
Se: 0.500 0.000 0.500
Se: 0.500 0.500 0.000

First-principles (PBE-GGA) data for Tb3PtSe2 after structural relaxation, as listed in the Alexandria database.

Computed properties:
VASP energy	-6.08	eV per atom
relative energy among the computed polymorphs	0	meV/atom
magnetization	0.0	μB/f.u.
space group	Fddd, No. 70
E_form (uncorrected)	-1594	meV per atom

Cell: 7.205 7.205 12.899 Å, 101.02 101.02 108.41°
Fractional coordinates of all 24 atoms:
Tb: 0.161 0.678 0.827
Tb: 0.665 0.149 0.827
Tb: 0.089 0.072 0.673
Tb: 0.585 0.601 0.673
Tb: 0.014 0.514 0.500
Tb: 0.486 0.986 0.500
Tb: 0.399 0.415 0.327
Tb: 0.928 0.911 0.327
Tb: 0.851 0.335 0.173
Tb: 0.322 0.839 0.173
Tb: 0.236 0.236 0.000
Tb: 0.764 0.764 0.000
Pt: 0.916 0.916 0.833
Pt: 0.334 0.834 0.667
Pt: 0.166 0.666 0.333
Pt: 0.084 0.084 0.167
Se: 0.998 0.498 0.995
Se: 0.420 0.420 0.839
Se: 0.830 0.330 0.661
Se: 0.252 0.252 0.505
Se: 0.748 0.748 0.495
Se: 0.670 0.170 0.339
Se: 0.580 0.580 0.161
Se: 0.502 0.002 0.005

First-principles (PBE-GGA) data for Tb4PtSe3 after structural relaxation, as listed in the Alexandria database.

Computed properties:
VASP energy	-6.02	eV per atom
relative energy among the computed polymorphs	0	meV/atom
magnetization	0.0	μB/f.u.
space group	Cmmm, No. 65
E_form (uncorrected)	-1645	meV per atom

Cell: 4.039 7.207 7.207 Å, 108.99 90.00 90.00°
Fractional coordinates of all 8 atoms:
Tb: 0.000 0.234 0.234
Tb: 0.500 0.754 0.246
Tb: 0.000 0.766 0.766
Tb: 0.500 0.246 0.754
Se: 0.000 0.000 0.500
Se: 0.500 0.500 0.500
Se: 0.000 0.500 0.000
Pt: 0.500 0.000 0.000

First-principles (PBE-GGA) data for Tb3PtSe3 after structural relaxation, as listed in the Alexandria database.

Computed properties:
VASP energy	-5.91	eV per atom
magnetization	0.0	μB/f.u.
space group	R-3, No. 148
E_form (uncorrected)	-1572	meV per atom

Cell: 8.484 8.484 7.595 Å, 56.05 56.05 60.00°
Fractional coordinates of all 14 atoms:
Tb: 0.274 0.530 0.229
Tb: 0.966 0.274 0.229
Tb: 0.530 0.966 0.229
Tb: 0.470 0.034 0.771
Tb: 0.034 0.726 0.771
Tb: 0.726 0.470 0.771
Pt: 0.348 0.348 0.956
Pt: 0.652 0.652 0.044
Se: 0.359 0.789 0.726
Se: 0.789 0.126 0.726
Se: 0.126 0.359 0.726
Se: 0.874 0.641 0.274
Se: 0.211 0.874 0.274
Se: 0.641 0.211 0.274

First-principles (PBE-GGA) data for Tb4PtSe2 after structural relaxation, as listed in the Alexandria database.

Computed properties:
VASP energy	-5.88	eV per atom
magnetization	0.0	μB/f.u.
space group	Cmcm, No. 63
E_form (uncorrected)	-1375	meV per atom

Cell: 3.912 6.882 14.155 Å, 90.00 90.00 106.52°
Fractional coordinates of all 14 atoms:
Tb: 0.210 0.419 0.628
Tb: 0.790 0.581 0.372
Tb: 0.790 0.581 0.128
Tb: 0.210 0.419 0.872
Tb: 0.951 0.903 0.750
Tb: 0.049 0.097 0.250
Tb: 0.500 0.000 0.000
Tb: 0.500 0.000 0.500
Pt: 0.392 0.784 0.250
Pt: 0.608 0.216 0.750
Se: 0.859 0.717 0.935
Se: 0.141 0.283 0.065
Se: 0.859 0.717 0.565
Se: 0.141 0.283 0.435

First-principles (PBE-GGA) data for Tb6Te3Pt2Se after structural relaxation, as listed in the Alexandria database.

Computed properties:
VASP energy	-5.79	eV per atom
magnetization	0.0	μB/f.u.
space group	C2/m, No. 12
E_form (uncorrected)	-1392	meV per atom

Cell: 7.268 7.268 7.659 Å, 99.04 99.04 120.14°
Fractional coordinates of all 12 atoms:
Tb: 0.926 0.578 0.783
Tb: 0.723 0.723 0.216
Tb: 0.074 0.422 0.217
Tb: 0.578 0.926 0.783
Tb: 0.277 0.277 0.784
Tb: 0.422 0.074 0.217
Te: 0.161 0.839 0.500
Te: 0.839 0.161 0.500
Te: 0.500 0.500 0.500
Pt: 0.332 0.668 0.000
Pt: 0.668 0.332 0.000
Se: 0.000 0.000 0.000

First-principles (PBE-GGA) data for Tb8Te3Pt3Se after structural relaxation, as listed in the Alexandria database.

Computed properties:
VASP energy	-5.76	eV per atom
magnetization	0.0	μB/f.u.
space group	R-3m, No. 166
E_form (uncorrected)	-1217	meV per atom

Cell: 8.348 8.348 8.603 Å, 119.02 90.00 120.00°
Fractional coordinates of all 15 atoms:
Tb: 0.263 0.527 0.290
Tb: 0.737 0.473 0.710
Tb: 0.751 0.502 0.278
Tb: 0.249 0.498 0.722
Tb: 0.751 0.027 0.278
Tb: 0.249 0.973 0.722
Tb: 0.276 0.027 0.278
Tb: 0.724 0.973 0.722
Te: 0.000 0.000 0.000
Te: 0.000 0.500 0.000
Te: 0.500 0.500 0.000
Pt: 0.500 0.000 0.500
Pt: 0.500 0.500 0.500
Pt: 0.000 0.500 0.500
Se: 0.000 0.000 0.500

First-principles (PBE-GGA) data for Tb8Te4PtSe3 after structural relaxation, as listed in the Alexandria database.

Computed properties:
VASP energy	-5.64	eV per atom
magnetization	0.0	μB/f.u.
space group	R-3m, No. 166
E_form (uncorrected)	-1512	meV per atom

Cell: 8.461 8.587 8.460 Å, 119.52 120.00 90.00°
Fractional coordinates of all 16 atoms:
Tb: 0.232 0.718 0.986
Tb: 0.232 0.718 0.465
Tb: 0.259 0.278 0.519
Tb: 0.754 0.718 0.986
Tb: 0.246 0.282 0.014
Tb: 0.741 0.722 0.481
Tb: 0.768 0.282 0.535
Tb: 0.768 0.282 0.014
Te: 0.500 0.000 0.000
Te: 0.500 0.000 0.500
Te: 0.000 0.000 0.000
Te: 0.000 0.000 0.500
Pt: 0.000 0.500 0.000
Se: 0.500 0.500 0.000
Se: 0.500 0.500 0.500
Se: 0.000 0.500 0.500